The following is a PBE-GGA calculation of an optimized crystal structure of Ho2Ge3Pd2, from Alexandria.

**V**: 539 Å³ per cell
**Energy relative to the elements**: -0.85 eV/atom
**Energy above the lowest structure with this stoichiometry**: 0.0000 eV/atom
**Calculated total energy**: -39.31 eV per formula unit
**Spin magnetization**: 0.0 μB/cell

Geometry as CIF:
```
data_Ho2Ge3Pd2
_chemical_formula_sum 'Ho8 Ge12 Pd8'
_space_group_name_H-M_alt 'C m c m'
_space_group_IT_number 63
_space_group_name_Hall '-C 2c 2'
_cell_length_a 4.200
_cell_length_b 18.258
_cell_length_c 7.030
_cell_angle_alpha 90.00
_cell_angle_beta 90.00
_cell_angle_gamma 90.00
loop_
_atom_site_label
_atom_site_type_symbol
_atom_site_fract_x
_atom_site_fract_y
_atom_site_fract_z
Ho1 Ho 0.000 0.053 0.250
Ho2 Ho 0.000 0.156 0.750
Ge1 Ge 0.000 0.223 0.250
Ge2 Ge 0.000 0.437 0.066
Pd1 Pd 0.000 0.306 0.548
```